Computed, not measured: crystalline CsGa2H at its relaxed geometry at the GGA-PBE level of DFT.

As for the symmetry: P6_3/mmc. The value obtained for the distance to the lowest polymorph of the same formula is 0.0 kJ/mol of formula units. Its crystal system is hexagonal.

Unit cell a=5.0826 b=5.0826 c=8.5364 alpha=90.00 beta=90.00 gamma=120.00
Fractional coordinates of all 8 atoms:
Cs1 0.0000 0.0000 0.2500
Cs2 0.0000 0.0000 0.7500
Ga1 0.3333 0.6667 0.0220
Ga2 0.3333 0.6667 0.4780
Ga3 0.6667 0.3333 0.5220
Ga4 0.6667 0.3333 0.9780
H1 0.3333 0.6667 0.2500
H2 0.6667 0.3333 0.7500

Computed, not measured: crystalline CsGaH4 at its relaxed geometry at the GGA-PBE level of DFT.

As for the symmetry: P4_2/nmc. Its crystal system is tetragonal.

Unit cell a=5.5393 b=5.5393 c=7.7865 alpha=90.00 beta=90.00 gamma=90.00
Fractional coordinates of all 12 atoms:
Cs1 0.2500 0.7500 0.2500
Cs2 0.7500 0.2500 0.7500
Ga1 0.2500 0.7500 0.7500
Ga2 0.7500 0.2500 0.2500
H1 0.0149 0.7500 0.6305
H2 0.2500 0.5149 0.8695
H3 0.2500 0.9851 0.8695
H4 0.4851 0.7500 0.6305
H5 0.5149 0.2500 0.3695
H6 0.7500 0.0149 0.1305
H7 0.7500 0.4851 0.1305
H8 0.9851 0.2500 0.3695

Computed, not measured: crystalline CsGa2H at its relaxed geometry at the GGA-PBE level of DFT.

As for the symmetry: Fm-3m. The value obtained for the distance to the lowest polymorph of the same formula is 328.0 kJ/mol of formula units. Its crystal system is cubic.

Unit cell a=5.4968 b=5.4968 c=5.4968 alpha=60.00 beta=60.00 gamma=60.00
Fractional coordinates of all 4 atoms:
Cs1 0.0000 0.0000 0.0000
Ga1 0.2500 0.2500 0.2500
Ga2 0.7500 0.7500 0.7500
H1 0.5000 0.5000 0.5000

Computed, not measured: crystalline CsKGa2H8 at its relaxed geometry at the GGA-PBE level of DFT.

As for the symmetry: R-3. Its crystal system is trigonal.

Unit cell a=9.1281 b=9.1281 c=9.1281 alpha=34.45 beta=34.45 gamma=34.45
Fractional coordinates of all 12 atoms:
Cs1 0.0000 0.0000 0.0000
K1 0.5000 0.5000 0.5000
Ga1 0.2466 0.2466 0.2466
Ga2 0.7534 0.7534 0.7534
H1 0.0102 0.8450 0.4647
H2 0.1550 0.5353 0.9898
H3 0.3090 0.3090 0.3090
H4 0.4647 0.0102 0.8450
H5 0.5353 0.9898 0.1550
H6 0.6910 0.6910 0.6910
H7 0.8450 0.4647 0.0102
H8 0.9898 0.1550 0.5353

Number 1: calculated total energy -2.571 eV per atom. Number 2: calculated total energy -3.110 eV per atom. Number 3: calculated total energy -1.721 eV per atom. Number 4: calculated total energy -3.110 eV per atom.